Below is a relaxed Nd2SnSb3Ir4 crystal, with properties calculated at the PBE level.

Results
* magnetization: 0.00 μB per atom
* formation energy (no corrections): -594 meV per atom

Geometry as CIF:
```
data_Nd2SnSb3Ir4
_symmetry_space_group_name_H-M 'P -4 m 2'
_symmetry_Int_Tables_number 115
_symmetry_space_group_name_Hall 'P -4 -2'
_cell_length_a 4.444
_cell_length_b 4.444
_cell_length_c 10.995
_cell_angle_alpha 90.00
_cell_angle_beta 90.00
_cell_angle_gamma 90.00
loop_
_atom_site_label
_atom_site_type_symbol
_atom_site_fract_x
_atom_site_fract_y
_atom_site_fract_z
Nd1 Nd 0.000 0.500 0.243
Sn1 Sn 0.000 0.000 0.500
Sb1 Sb 0.000 0.500 0.864
Sb2 Sb 0.500 0.500 0.500
Ir1 Ir 0.000 0.000 0.000
Ir2 Ir 0.000 0.500 0.631
Ir3 Ir 0.500 0.500 0.000
```



Below is a relaxed LaFe2Cl crystal, with properties calculated at the PBE level.

Results
* magnetization: 1.26 μB per atom
* formation energy (no corrections): 49 meV per atom
* polymorph energy (0 for the lowest one): 0.259 eV/atom

Geometry as CIF:
```
data_LaFe2Cl
_symmetry_space_group_name_H-M 'I m m m'
_symmetry_Int_Tables_number 71
_symmetry_space_group_name_Hall '-I 2 2'
_cell_length_a 3.286
_cell_length_b 4.479
_cell_length_c 10.870
_cell_angle_alpha 90.00
_cell_angle_beta 90.00
_cell_angle_gamma 90.00
loop_
_atom_site_label
_atom_site_type_symbol
_atom_site_fract_x
_atom_site_fract_y
_atom_site_fract_z
La1 La 0.000 0.000 0.000
Fe1 Fe 0.000 0.500 0.247
Cl1 Cl 0.000 0.000 0.500
```



Below is a relaxed NdEuLuCd crystal, with properties calculated at the PBE level.

Results
* magnetization: 1.79 μB per atom
* DFT formation energy: -0.026 eV per atom

Geometry as CIF:
```
data_NdEuLuCd
_symmetry_space_group_name_H-M 'F -4 3 m'
_symmetry_Int_Tables_number 216
_symmetry_space_group_name_Hall 'F -4 2 3'
_cell_length_a 7.896
_cell_length_b 7.896
_cell_length_c 7.896
_cell_angle_alpha 90.00
_cell_angle_beta 90.00
_cell_angle_gamma 90.00
loop_
_atom_site_label
_atom_site_type_symbol
_atom_site_fract_x
_atom_site_fract_y
_atom_site_fract_z
Nd1 Nd 0.000 0.000 0.000
Eu1 Eu 0.000 0.000 0.500
Lu1 Lu 0.250 0.250 0.250
Cd1 Cd 0.250 0.250 0.750
```



Below is a relaxed HfPaAs2N crystal, with properties calculated at the PBE level.

Results
* magnetization: 0.00 μB per atom
* formation energy (no corrections): -1209 meV per atom

Geometry as CIF:
```
data_HfPaAs2N
_symmetry_space_group_name_H-M 'P 4/n m m'
_symmetry_Int_Tables_number 129
_cell_length_a 3.842
_cell_length_b 3.842
_cell_length_c 13.227
_cell_angle_alpha 90.00
_cell_angle_beta 90.00
_cell_angle_gamma 90.00
loop_
_symmetry_equiv_pos_as_xyz
'x,y,z'
'-x,-y,-z'
'-y+1/2,x,z'
'y+1/2,-x,-z'
'-x+1/2,-y+1/2,z'
'x+1/2,y+1/2,-z'
'y,-x+1/2,z'
'-y,x+1/2,-z'
'x+1/2,-y,-z'
'-x+1/2,y,z'
'-y,-x,-z'
'y,x,z'
'-x,y+1/2,-z'
'x,-y+1/2,z'
'y+1/2,x+1/2,-z'
'-y+1/2,-x+1/2,z'
loop_
_atom_site_label
_atom_site_type_symbol
_atom_site_fract_x
_atom_site_fract_y
_atom_site_fract_z
Hf1 Hf 0.250 0.250 0.098
Pa1 Pa 0.250 0.250 0.593
As1 As 0.250 0.250 0.298
As2 As 0.250 0.250 0.887
N1 N 0.250 0.750 0.500
```



Below is a relaxed CeZn4 crystal, with properties calculated at the PBE level.

Results
* magnetization: 0.51 μB per atom
* DFT formation energy: 1.034 eV per atom

Geometry as CIF:
```
data_CeZn4
_symmetry_space_group_name_H-M 'P m -3 m'
_symmetry_Int_Tables_number 221
_symmetry_space_group_name_Hall '-P 4 2 3'
_cell_length_a 5.831
_cell_length_b 5.831
_cell_length_c 5.831
_cell_angle_alpha 90.00
_cell_angle_beta 90.00
_cell_angle_gamma 90.00
loop_
_atom_site_label
_atom_site_type_symbol
_atom_site_fract_x
_atom_site_fract_y
_atom_site_fract_z
Ce1 Ce 0.000 0.000 0.000
Zn1 Zn 0.000 0.000 0.500
Zn2 Zn 0.500 0.500 0.500
```



Below is a relaxed LiLa2InNi crystal, with properties calculated at the PBE level.

Results
* magnetization: 0.00 μB per atom
* DFT formation energy: -0.214 eV per atom
* polymorph energy (0 for the lowest one): 0.000 eV/atom

Geometry as CIF:
```
data_LiLa2InNi
_symmetry_space_group_name_H-M 'P 4/m m m'
_symmetry_Int_Tables_number 123
_symmetry_space_group_name_Hall '-P 4 2'
_cell_length_a 5.381
_cell_length_b 5.381
_cell_length_c 4.746
_cell_angle_alpha 90.00
_cell_angle_beta 90.00
_cell_angle_gamma 90.00
loop_
_atom_site_label
_atom_site_type_symbol
_atom_site_fract_x
_atom_site_fract_y
_atom_site_fract_z
Li1 Li 0.000 0.000 0.000
La1 La 0.000 0.500 0.500
In1 In 0.500 0.500 0.000
Ni1 Ni 0.000 0.000 0.500
```



Below is a relaxed LaMn2Al2 crystal, with properties calculated at the PBE level.

Results
* magnetization: 0.00 μB per atom
* DFT formation energy: 0.172 eV per atom

Geometry as CIF:
```
data_LaMn2Al2
_symmetry_space_group_name_H-M 'P 4/m b m'
_symmetry_Int_Tables_number 127
_symmetry_space_group_name_Hall '-P 4 2ab'
_cell_length_a 7.728
_cell_length_b 7.728
_cell_length_c 2.746
_cell_angle_alpha 90.00
_cell_angle_beta 90.00
_cell_angle_gamma 90.00
loop_
_atom_site_label
_atom_site_type_symbol
_atom_site_fract_x
_atom_site_fract_y
_atom_site_fract_z
La1 La 0.000 0.000 0.000
Mn1 Mn 0.165 0.335 0.500
Al1 Al 0.124 0.624 0.000
```



Below is a relaxed KAl2Co crystal, with properties calculated at the PBE level.

Results
* magnetization: 0.00 μB per atom
* DFT formation energy: 0.187 eV per atom
* polymorph energy (0 for the lowest one): 0.162 eV/atom

Geometry as CIF:
```
data_KAl2Co
_symmetry_space_group_name_H-M 'C 1 m 1'
_symmetry_Int_Tables_number 8
_symmetry_space_group_name_Hall 'C -2y'
_cell_length_a 8.575
_cell_length_b 2.843
_cell_length_c 7.913
_cell_angle_alpha 90.00
_cell_angle_beta 107.56
_cell_angle_gamma 90.00
loop_
_atom_site_label
_atom_site_type_symbol
_atom_site_fract_x
_atom_site_fract_y
_atom_site_fract_z
K1 K 0.000 0.000 0.000
Al1 Al 0.166 0.000 0.632
Al2 Al 0.381 0.000 0.383
Co1 Co 0.161 0.500 0.394
```



Below is a relaxed Li3Mn5Br12 crystal, with properties calculated at the PBE level.

Results
* magnetization: 1.20 μB per atom
* formation energy (no corrections): -828 meV per atom

Geometry as CIF:
```
data_Li3Mn5Br12
_symmetry_space_group_name_H-M 'I a -3 d'
_symmetry_Int_Tables_number 230
_symmetry_space_group_name_Hall '-I 4bd 2c 3'
_cell_length_a 16.552
_cell_length_b 16.552
_cell_length_c 16.552
_cell_angle_alpha 90.00
_cell_angle_beta 90.00
_cell_angle_gamma 90.00
loop_
_atom_site_label
_atom_site_type_symbol
_atom_site_fract_x
_atom_site_fract_y
_atom_site_fract_z
Li1 Li 0.000 0.250 0.125
Mn1 Mn 0.000 0.000 0.000
Mn2 Mn 0.000 0.250 0.375
Br1 Br 0.027 0.059 0.651
```



Below is a relaxed Na2NF6 crystal, with properties calculated at the PBE level.

Results
* magnetization: 0.09 μB per atom
* formation energy (no corrections): -1162 meV per atom
* polymorph energy (0 for the lowest one): 0.000 eV/atom

Geometry as CIF:
```
data_Na2NF6
_symmetry_space_group_name_H-M 'C 1 2/m 1'
_symmetry_Int_Tables_number 12
_symmetry_space_group_name_Hall '-C 2y'
_cell_length_a 9.126
_cell_length_b 5.239
_cell_length_c 5.332
_cell_angle_alpha 90.00
_cell_angle_beta 125.21
_cell_angle_gamma 90.00
loop_
_atom_site_label
_atom_site_type_symbol
_atom_site_fract_x
_atom_site_fract_y
_atom_site_fract_z
Na1 Na 0.250 0.000 0.247
N1 N 0.000 0.500 0.000
F1 F 0.031 0.270 0.807
F2 F 0.226 0.500 0.284
```



Below is a relaxed Sr2DyGe3Au12 crystal, with properties calculated at the PBE level.

Results
* magnetization: 0.00 μB per atom
* DFT formation energy: -0.157 eV per atom

Geometry as CIF:
```
data_Sr2DyGe3Au12
_symmetry_space_group_name_H-M 'R -3 m'
_symmetry_Int_Tables_number 166
_symmetry_space_group_name_Hall '-R 3 2"'
_cell_length_a 9.3113
_cell_length_b 9.3113
_cell_length_c 18.0211
_cell_angle_alpha 90.00
_cell_angle_beta 90.00
_cell_angle_gamma 120.00
loop_
_atom_site_label
_atom_site_type_symbol
_atom_site_fract_x
_atom_site_fract_y
_atom_site_fract_z
Sr1 Sr 0.0000 0.0000 0.1010
Dy1 Dy 0.0000 0.0000 0.5000
Ge1 Ge 0.0000 0.5000 0.0000
Au1 Au 0.0146 0.5073 0.8577
Au2 Au 0.0208 0.5104 0.3203
```



Below is a relaxed KZnP2Os crystal, with properties calculated at the PBE level.

Results
* magnetization: 0.57 μB per atom
* DFT formation energy: 2.662 eV per atom

Geometry as CIF:
```
data_KZnP2Os
_symmetry_space_group_name_H-M 'P 4/m m m'
_symmetry_Int_Tables_number 123
_symmetry_space_group_name_Hall '-P 4 2'
_cell_length_a 5.048
_cell_length_b 5.048
_cell_length_c 4.931
_cell_angle_alpha 90.00
_cell_angle_beta 90.00
_cell_angle_gamma 90.00
loop_
_atom_site_label
_atom_site_type_symbol
_atom_site_fract_x
_atom_site_fract_y
_atom_site_fract_z
K1 K 0.000 0.000 0.000
Zn1 Zn 0.000 0.000 0.500
P1 P 0.000 0.500 0.000
Os1 Os 0.500 0.500 0.500
```



Below is a relaxed PmSmAlGa crystal, with properties calculated at the PBE level.

Results
* magnetization: 0.00 μB per atom
* DFT formation energy: -0.484 eV per atom
* polymorph energy (0 for the lowest one): 0.000 eV/atom

Geometry as CIF:
```
data_PmSmAlGa
_symmetry_space_group_name_H-M 'A m m 2'
_symmetry_Int_Tables_number 38
_symmetry_space_group_name_Hall 'A 2 -2'
_cell_length_a 4.171
_cell_length_b 4.476
_cell_length_c 11.325
_cell_angle_alpha 90.00
_cell_angle_beta 90.00
_cell_angle_gamma 90.00
loop_
_atom_site_label
_atom_site_type_symbol
_atom_site_fract_x
_atom_site_fract_y
_atom_site_fract_z
Pm1 Pm 0.000 0.000 0.000
Sm1 Sm 0.500 0.000 0.717
Al1 Al 0.500 0.000 0.425
Ga1 Ga 0.000 0.000 0.284
```



Below is a relaxed Pm5Nd4Dy2 crystal, with properties calculated at the PBE level.

Results
* magnetization: 0.00 μB per atom
* DFT formation energy: 0.195 eV per atom
* polymorph energy (0 for the lowest one): 0.099 eV/atom

Geometry as CIF:
```
data_Pm5Nd4Dy2
_symmetry_space_group_name_H-M 'I m m m'
_symmetry_Int_Tables_number 71
_symmetry_space_group_name_Hall '-I 2 2'
_cell_length_a 3.581
_cell_length_b 11.631
_cell_length_c 18.569
_cell_angle_alpha 90.00
_cell_angle_beta 90.00
_cell_angle_gamma 90.00
loop_
_atom_site_label
_atom_site_type_symbol
_atom_site_fract_x
_atom_site_fract_y
_atom_site_fract_z
Pm1 Pm 0.000 0.000 0.000
Pm2 Pm 0.000 0.209 0.321
Nd1 Nd 0.000 0.239 0.500
Nd2 Nd 0.000 0.500 0.090
Dy1 Dy 0.000 0.500 0.297
```



Below is a relaxed LiSb2Rh crystal, with properties calculated at the PBE level.

Results
* magnetization: 0.00 μB per atom
* formation energy (no corrections): -2 meV per atom
* polymorph energy (0 for the lowest one): 0.349 eV/atom

Geometry as CIF:
```
data_LiSb2Rh
_symmetry_space_group_name_H-M 'F -4 3 m'
_symmetry_Int_Tables_number 216
_symmetry_space_group_name_Hall 'F -4 2 3'
_cell_length_a 6.801
_cell_length_b 6.801
_cell_length_c 6.801
_cell_angle_alpha 90.00
_cell_angle_beta 90.00
_cell_angle_gamma 90.00
loop_
_atom_site_label
_atom_site_type_symbol
_atom_site_fract_x
_atom_site_fract_y
_atom_site_fract_z
Li1 Li 0.000 0.000 0.000
Sb1 Sb 0.000 0.000 0.500
Sb2 Sb 0.250 0.250 0.750
Rh1 Rh 0.250 0.250 0.250
```



Below is a relaxed FeOs3S crystal, with properties calculated at the PBE level.

Results
* magnetization: 0.00 μB per atom
* formation energy (no corrections): 2154 meV per atom
* polymorph energy (0 for the lowest one): 0.695 eV/atom

Geometry as CIF:
```
data_FeOs3S
_symmetry_space_group_name_H-M 'P m -3 m'
_symmetry_Int_Tables_number 221
_symmetry_space_group_name_Hall '-P 4 2 3'
_cell_length_a 4.424
_cell_length_b 4.424
_cell_length_c 4.424
_cell_angle_alpha 90.00
_cell_angle_beta 90.00
_cell_angle_gamma 90.00
loop_
_atom_site_label
_atom_site_type_symbol
_atom_site_fract_x
_atom_site_fract_y
_atom_site_fract_z
Fe1 Fe 0.000 0.000 0.000
Os1 Os 0.000 0.000 0.500
S1 S 0.500 0.500 0.500
```



Below is a relaxed TmTlC2O6 crystal, with properties calculated at the PBE level.

Results
* magnetization: 0.00 μB per atom
* formation energy (no corrections): -1943 meV per atom

Geometry as CIF:
```
data_TmTlC2O6
_symmetry_space_group_name_H-M 'C 1 2/c 1'
_symmetry_Int_Tables_number 15
_symmetry_space_group_name_Hall '-C 2yc'
_cell_length_a 8.783
_cell_length_b 9.299
_cell_length_c 7.161
_cell_angle_alpha 90.00
_cell_angle_beta 111.23
_cell_angle_gamma 90.00
loop_
_atom_site_label
_atom_site_type_symbol
_atom_site_fract_x
_atom_site_fract_y
_atom_site_fract_z
Tm1 Tm 0.000 0.094 0.250
Tl1 Tl 0.000 0.397 0.750
C1 C 0.224 0.128 0.740
O1 O 0.080 0.121 0.594
O2 O 0.173 0.273 0.250
O3 O 0.249 0.472 0.125
```



Below is a relaxed Tb9Mg5Ni4 crystal, with properties calculated at the PBE level.

Results
* magnetization: 0.00 μB per atom
* DFT formation energy: -0.250 eV per atom

Geometry as CIF:
```
data_Tb9Mg5Ni4
_symmetry_space_group_name_H-M 'P 4/m m m'
_symmetry_Int_Tables_number 123
_symmetry_space_group_name_Hall '-P 4 2'
_cell_length_a 10.918
_cell_length_b 10.918
_cell_length_c 3.670
_cell_angle_alpha 90.00
_cell_angle_beta 90.00
_cell_angle_gamma 90.00
loop_
_atom_site_label
_atom_site_type_symbol
_atom_site_fract_x
_atom_site_fract_y
_atom_site_fract_z
Tb1 Tb 0.000 0.000 0.000
Tb2 Tb 0.000 0.277 0.500
Tb3 Tb 0.323 0.323 0.500
Mg1 Mg 0.143 0.500 0.000
Mg2 Mg 0.500 0.500 0.000
Ni1 Ni 0.190 0.190 0.000
```



Below is a relaxed Ac2AlIn2 crystal, with properties calculated at the PBE level.

Results
* magnetization: 0.00 μB per atom
* DFT formation energy: -0.427 eV per atom

Geometry as CIF:
```
data_Ac2AlIn2
_symmetry_space_group_name_H-M 'C 1 2/m 1'
_symmetry_Int_Tables_number 12
_symmetry_space_group_name_Hall '-C 2y'
_cell_length_a 12.288
_cell_length_b 4.856
_cell_length_c 11.814
_cell_angle_alpha 90.00
_cell_angle_beta 116.94
_cell_angle_gamma 90.00
loop_
_atom_site_label
_atom_site_type_symbol
_atom_site_fract_x
_atom_site_fract_y
_atom_site_fract_z
Ac1 Ac 0.002 0.000 0.167
Ac2 Ac 0.186 0.000 0.609
Al1 Al 0.206 0.500 0.835
In1 In 0.026 0.500 0.385
In2 In 0.162 0.500 0.060
```



Below is a relaxed BaCoSe crystal, with properties calculated at the PBE level.

Results
* magnetization: 0.77 μB per atom
* formation energy (no corrections): 236 meV per atom
* polymorph energy (0 for the lowest one): 0.904 eV/atom

Geometry as CIF:
```
data_BaCoSe
_symmetry_space_group_name_H-M 'F -4 3 m'
_symmetry_Int_Tables_number 216
_symmetry_space_group_name_Hall 'F -4 2 3'
_cell_length_a 7.463
_cell_length_b 7.463
_cell_length_c 7.463
_cell_angle_alpha 90.00
_cell_angle_beta 90.00
_cell_angle_gamma 90.00
loop_
_atom_site_label
_atom_site_type_symbol
_atom_site_fract_x
_atom_site_fract_y
_atom_site_fract_z
Ba1 Ba 0.000 0.000 0.000
Co1 Co 0.250 0.250 0.250
Se1 Se 0.250 0.250 0.750
```



Below is a relaxed LiCu2Ir crystal, with properties calculated at the PBE level.

Results
* magnetization: 0.00 μB per atom
* DFT formation energy: 0.056 eV per atom
* polymorph energy (0 for the lowest one): 0.146 eV/atom

Geometry as CIF:
```
data_LiCu2Ir
_symmetry_space_group_name_H-M 'P 4 m m'
_symmetry_Int_Tables_number 99
_symmetry_space_group_name_Hall 'P 4 -2'
_cell_length_a 2.626
_cell_length_b 2.626
_cell_length_c 7.589
_cell_angle_alpha 90.00
_cell_angle_beta 90.00
_cell_angle_gamma 90.00
loop_
_atom_site_label
_atom_site_type_symbol
_atom_site_fract_x
_atom_site_fract_y
_atom_site_fract_z
Li1 Li 0.000 0.000 0.000
Cu1 Cu 0.000 0.000 0.491
Cu2 Cu 0.500 0.500 0.261
Ir1 Ir 0.500 0.500 0.743
```